Material: KCoTc2
Method: DFT, PBE
State: optimized geometry

The structure in CIF format:
```
data_KCoTc2
_space_group_name_H-M_alt 'P 1'
_space_group_IT_number 1
_space_group_name_Hall 'P 1'
_cell_length_a 4.423
_cell_length_b 4.423
_cell_length_c 4.423
_cell_angle_alpha 60.00
_cell_angle_beta 60.00
_cell_angle_gamma 60.00
loop_
_atom_site_label
_atom_site_type_symbol
_atom_site_fract_x
_atom_site_fract_y
_atom_site_fract_z
Co1 Co 0.500 0.500 0.500
Tc1 Tc 0.250 0.250 0.250
Tc2 Tc 0.750 0.750 0.750
K1 K 0.000 0.000 0.000
```

Values from the calculation:
Energy above the most stable polymorph in this dataset = 91.8 kJ per mole of atoms
Total magnetization = 0.0 Bohr magnetons per cell
Energy = -5.542 eV per atom
Calculated formation energy = 1.692 eV per atom